Entry 1:
The following is a PBE calculation of a geometry-optimized CsLiGeHBr structure, from the Alexandria database.

Lattice parameters (Å, degrees): 3.7624 3.8982 17.2022 90.00 90.00 90.00
Fractional positions:
Cs: 0.0000 0.0000 0.0000
Cs: 0.0000 0.5000 0.5000
Li: 0.0000 0.0000 0.7397
Li: 0.0000 0.5000 0.2397
Ge: 0.5000 0.0000 0.3222
Ge: 0.5000 0.5000 0.8222
H: 0.5000 0.0000 0.4182
H: 0.5000 0.5000 0.9182
Br: 0.5000 0.0000 0.6340
Br: 0.5000 0.5000 0.1340

Its energy above the most stable polymorph in this dataset is 0 meV/atom. Its magnetization is 0.000 μB per cell. The crystal system is orthorhombic. Its total DFT energy (no corrections) is -30.39 eV for the cell shown.

=====

Entry 2:
The following is a PBE calculation of a geometry-optimized CsLiGeHBr structure, from the Alexandria database.

Lattice parameters (Å, degrees): 5.1720 5.2739 5.9812 91.44 111.52 90.48
Fractional positions:
Cs: 0.0000 0.0000 0.0000
Li: 0.8824 0.4775 0.4802
Ge: 0.4241 0.4802 0.5805
H: 0.4157 0.7895 0.5784
Br: 0.5167 0.5074 0.0693

Its energy above the most stable polymorph in this dataset is 92 meV/atom. Its magnetization is 0.000 μB per cell. The crystal system is triclinic. Its total DFT energy (no corrections) is -14.74 eV for the cell shown.

=====

Entry 3:
The following is a PBE calculation of a geometry-optimized CsHfGeBr2 structure, from the Alexandria database.

Lattice parameters (Å, degrees): 5.2608 5.2608 9.1132 90.00 90.00 90.00
Fractional positions:
Cs: 0.0000 0.0000 0.0000
Hf: 0.0000 0.0000 0.5000
Ge: 0.5000 0.5000 0.0000
Br: 0.0000 0.5000 0.5000
Br: 0.5000 0.0000 0.5000

Its magnetization is 4.939 μB per cell. The crystal system is tetragonal. The uncorrected formation energy is 3.39 kcal/mol of atoms. Its total DFT energy (no corrections) is -18.03 eV for the cell shown.

=====

Entry 4:
The following is a PBE calculation of a geometry-optimized Cs2Hg2GeBr4 structure, from the Alexandria database.

Lattice parameters (Å, degrees): 7.5315 7.5315 7.5315 110.27 110.27 107.88
Fractional positions:
Cs: 0.2500 0.7500 0.5000
Cs: 0.7500 0.2500 0.5000
Hg: 0.1737 0.1737 0.0000
Hg: 0.8263 0.8263 0.0000
Ge: 0.5000 0.5000 0.0000
Br: 0.2702 0.2702 0.5404
Br: 0.2702 0.7298 0.0000
Br: 0.7298 0.2702 0.0000
Br: 0.7298 0.7298 0.4596

Its magnetization is 0.000 μB per cell. The crystal system is tetragonal. The uncorrected formation energy is -22.67 kcal/mol of atoms. Its total DFT energy (no corrections) is -22.47 eV for the cell shown.

=====

Entry 5:
The following is a PBE calculation of a geometry-optimized Cs3HgGe2Br9 structure, from the Alexandria database.

Lattice parameters (Å, degrees): 7.9590 7.9590 9.7507 90.00 90.00 120.00
Fractional positions:
Cs: 0.0000 0.0000 0.0000
Cs: 0.3333 0.6667 0.6657
Cs: 0.6667 0.3333 0.3343
Hg: 0.0000 0.0000 0.5000
Ge: 0.3333 0.6667 0.1651
Ge: 0.6667 0.3333 0.8349
Br: 0.0000 0.5000 0.0000
Br: 0.1692 0.3384 0.3299
Br: 0.1692 0.8308 0.3299
Br: 0.3384 0.1692 0.6701
Br: 0.5000 0.0000 0.0000
Br: 0.5000 0.5000 0.0000
Br: 0.6616 0.8308 0.3299
Br: 0.8308 0.1692 0.6701
Br: 0.8308 0.6616 0.6701

Its magnetization is 0.000 μB per cell. The crystal system is trigonal. The uncorrected formation energy is -24.43 kcal/mol of atoms. Its total DFT energy (no corrections) is -43.05 eV for the cell shown.

=====

Entry 6:
The following is a PBE calculation of a geometry-optimized CsHoGeBr6 structure, from the Alexandria database.

Lattice parameters (Å, degrees): 7.3547 7.3547 8.1065 90.00 90.00 120.00
Fractional positions:
Cs: 0.0000 0.0000 0.0000
Ho: 0.6667 0.3333 0.5000
Ge: 0.3333 0.6667 0.5000
Br: 0.3782 0.0036 0.6998
Br: 0.3782 0.3746 0.3002
Br: 0.6254 0.0036 0.3002
Br: 0.6254 0.6218 0.6998
Br: 0.9964 0.3746 0.6998
Br: 0.9964 0.6218 0.3002

Its magnetization is 0.000 μB per cell. The crystal system is trigonal. The uncorrected formation energy is -33.57 kcal/mol of atoms. Its total DFT energy (no corrections) is -33.19 eV for the cell shown.

=====

Entry 7:
The following is a PBE calculation of a geometry-optimized Cs2GeI2Br4 structure, from the Alexandria database.

Lattice parameters (Å, degrees): 7.9500 7.9500 7.9500 118.03 118.03 93.44
Fractional positions:
Cs: 0.2500 0.7500 0.5000
Cs: 0.7500 0.2500 0.5000
Ge: 0.0000 0.0000 0.0000
I: 0.2526 0.2526 0.0000
I: 0.7474 0.7474 0.0000
Br: 0.2202 0.2202 0.4405
Br: 0.2202 0.7798 0.0000
Br: 0.7798 0.2202 0.0000
Br: 0.7798 0.7798 0.5595

Its magnetization is 0.000 μB per cell. The crystal system is tetragonal. The uncorrected formation energy is -22.96 kcal/mol of atoms. Its total DFT energy (no corrections) is -25.08 eV for the cell shown.

=====

Entry 8:
The following is a PBE calculation of a geometry-optimized Cs3Ge2I4Br3 structure, from the Alexandria database.

Lattice parameters (Å, degrees): 15.8480 15.8480 15.8480 159.45 30.19 158.12
Fractional positions:
Cs: 0.0000 0.0000 0.0000
Cs: 0.1520 0.9730 0.1790
Cs: 0.7939 0.9730 0.8210
Ge: 0.3913 0.9850 0.4063
Ge: 0.5787 0.9850 0.5937
I: 0.0467 0.4559 0.5908
I: 0.2809 0.9730 0.3079
I: 0.6650 0.9730 0.6921
I: 0.8650 0.4559 0.4092
Br: 0.3702 0.4635 0.9068
Br: 0.4622 0.9622 0.5000
Br: 0.5567 0.4635 0.0932

Its magnetization is 0.000 μB per cell. The crystal system is orthorhombic. The uncorrected formation energy is -24.42 kcal/mol of atoms. Its total DFT energy (no corrections) is -35.72 eV for the cell shown.